Record 1
# Tb2SmTm4, optimized geometry, DFT PBE
# N(E_F) (states/eV/cell): 22.421
# Magnetic moment (μB per formula unit): 0.00
# Formation energy from the elements (meV per atom): 78
# Space group: No. 1
# Energy above the lowest structure with this stoichiometry (eV/atom): 0.039
data_Tb2SmTm4
_chemical_formula_sum 'Tb4 Sm2 Tm8'
_cell_length_a 8.4116
_cell_length_b 9.7933
_cell_length_c 9.7964
_cell_angle_alpha 144.40
_cell_angle_beta 97.45
_cell_angle_gamma 95.06
_space_group_name_H-M_alt 'P 1'
_space_group_IT_number 1
loop_
_space_group_symop_operation_xyz
'x,y,z'
loop_
_atom_site_label
_atom_site_type_symbol
_atom_site_fract_x
_atom_site_fract_y
_atom_site_fract_z
Tm1 Tm 0.9773 0.1650 0.2647
Tm2 Tm 0.7706 0.5061 0.6570
Tm3 Tm 0.4145 0.5342 0.4875
Tm4 Tm 0.2725 0.0403 0.6902
Tb1 Tb 0.6937 0.2492 0.7617
Tb2 Tb 0.1253 0.4911 0.8663
Sm1 Sm 0.0545 0.4331 0.1696
Tm5 Tm 0.3374 0.1456 0.4423
Tm6 Tm 0.4797 0.6389 0.2378
Tb3 Tb 0.5563 0.8155 0.0529
Tm7 Tm 0.9127 0.8564 0.3100
Tb4 Tb 0.6246 0.1873 0.0623
Sm2 Sm 0.1955 0.8630 0.8765
Tm8 Tm 0.8354 0.8243 0.6211


Record 2
# AcYPuTh, optimized geometry, DFT PBE
# N(E_F) (states/eV/cell): 15.116
# Magnetic moment (μB per formula unit): 8.12
# Formation energy from the elements (meV per atom): 326
# Space group: No. 216
data_AcYPuTh
_chemical_formula_sum 'Ac1 Y1 Pu1 Th1'
_cell_length_a 5.7738
_cell_length_b 5.7738
_cell_length_c 5.7738
_cell_angle_alpha 60.00
_cell_angle_beta 60.00
_cell_angle_gamma 60.00
_space_group_name_H-M_alt 'P 1'
_space_group_IT_number 1
loop_
_space_group_symop_operation_xyz
'x,y,z'
loop_
_atom_site_label
_atom_site_type_symbol
_atom_site_fract_x
_atom_site_fract_y
_atom_site_fract_z
Pu1 Pu 0.2500 0.2500 0.2500
Ac1 Ac 0.7500 0.7500 0.7500
Th1 Th 0.5000 0.5000 0.5000
Y1 Y 0.0000 0.0000 0.0000


Record 3
# YOs2Au, optimized geometry, DFT PBE
# N(E_F) (states/eV/cell): 3.511
# Magnetic moment (μB per formula unit): 0.00
# Formation energy from the elements (meV per atom): 254
# Space group: No. 8
# Energy above the lowest structure with this stoichiometry (eV/atom): 0.185
data_YOs2Au
_chemical_formula_sum 'Y1 Os2 Au1'
_cell_length_a 5.0050
_cell_length_b 5.0050
_cell_length_c 5.0978
_cell_angle_alpha 79.10
_cell_angle_beta 79.10
_cell_angle_gamma 35.06
_space_group_name_H-M_alt 'P 1'
_space_group_IT_number 1
loop_
_space_group_symop_operation_xyz
'x,y,z'
loop_
_atom_site_label
_atom_site_type_symbol
_atom_site_fract_x
_atom_site_fract_y
_atom_site_fract_z
Au1 Au 0.2578 0.2578 0.2466
Os1 Os 0.0060 0.0060 0.9560
Os2 Os 0.7378 0.7378 0.8070
Y1 Y 0.4983 0.4983 0.4903


Record 4
# ZrGe2BiH, optimized geometry, DFT PBE
# Energy (eV/atom): -4.368
# N(E_F) (states/eV/cell): 2.394
# Magnetic moment (μB per formula unit): 0.00
# Space group: No. 123
data_ZrGe2BiH
_chemical_formula_sum 'Zr1 Ge2 Bi1 H1'
_cell_length_a 5.5621
_cell_length_b 3.5431
_cell_length_c 5.5621
_cell_angle_alpha 90.00
_cell_angle_beta 90.00
_cell_angle_gamma 90.00
_space_group_name_H-M_alt 'P 1'
_space_group_IT_number 1
loop_
_space_group_symop_operation_xyz
'x,y,z'
loop_
_atom_site_label
_atom_site_type_symbol
_atom_site_fract_x
_atom_site_fract_y
_atom_site_fract_z
Ge1 Ge 0.0000 0.0000 0.5000
Bi1 Bi 0.0000 0.0000 0.0000
Zr1 Zr 0.5000 0.5000 0.5000
Ge2 Ge 0.5000 0.0000 0.0000
H1 H 0.0000 0.5000 0.0000


Record 5
# Rb3Mn2PdCl9, optimized geometry, DFT PBE
# Raw formation energy (eV per atom): -1.33
# N(E_F) (states/eV/cell): 0.994
# Magnetic moment (μB per formula unit): 8.00
# Space group: No. 164
data_Rb3Mn2PdCl9
_chemical_formula_sum 'Rb3 Mn2 Pd1 Cl9'
_cell_length_a 7.1320
_cell_length_b 7.1320
_cell_length_c 8.7337
_cell_angle_alpha 90.00
_cell_angle_beta 90.00
_cell_angle_gamma 120.00
_space_group_name_H-M_alt 'P 1'
_space_group_IT_number 1
loop_
_space_group_symop_operation_xyz
'x,y,z'
loop_
_atom_site_label
_atom_site_type_symbol
_atom_site_fract_x
_atom_site_fract_y
_atom_site_fract_z
Mn1 Mn 0.3333 0.6667 0.1714
Cl1 Cl 0.8301 0.6602 0.6716
Cl2 Cl 0.3398 0.1699 0.6716
Rb1 Rb 0.6667 0.3333 0.3359
Pd1 Pd 0.0000 0.0000 0.5000
Mn2 Mn 0.6667 0.3333 0.8286
Cl3 Cl 0.1699 0.3398 0.3284
Rb2 Rb 0.0000 0.0000 0.0000
Cl4 Cl 0.5000 0.5000 0.0000
Cl5 Cl 0.8301 0.1699 0.6716
Cl6 Cl 0.1699 0.8301 0.3284
Cl7 Cl 0.6602 0.8301 0.3284
Cl8 Cl 0.0000 0.5000 0.0000
Rb3 Rb 0.3333 0.6667 0.6641
Cl9 Cl 0.5000 0.0000 0.0000


Record 6
# Ta2ReRh, optimized geometry, DFT PBE
# N(E_F) (states/eV/cell): 11.864
# Magnetic moment (μB per formula unit): 0.00
# Formation energy from the elements (meV per atom): 1327
# Space group: No. 122
data_Ta2ReRh
_chemical_formula_sum 'Ta4 Re2 Rh2'
_cell_length_a 5.8235
_cell_length_b 5.8235
_cell_length_c 7.0712
_cell_angle_alpha 65.68
_cell_angle_beta 65.68
_cell_angle_gamma 90.00
_space_group_name_H-M_alt 'P 1'
_space_group_IT_number 1
loop_
_space_group_symop_operation_xyz
'x,y,z'
loop_
_atom_site_label
_atom_site_type_symbol
_atom_site_fract_x
_atom_site_fract_y
_atom_site_fract_z
Ta1 Ta 0.6204 0.1250 0.2500
Rh1 Rh 0.2500 0.7500 0.5000
Re1 Re 0.7500 0.2500 0.5000
Ta2 Ta 0.3750 0.3796 0.7500
Ta3 Ta 0.1296 0.6250 0.2500
Re2 Re 0.0000 0.0000 0.0000
Ta4 Ta 0.8750 0.8704 0.7500
Rh2 Rh 0.5000 0.5000 0.0000


Record 7
# Ti3CN, optimized geometry, DFT PBE
# Raw formation energy (eV per atom): -0.46
# N(E_F) (states/eV/cell): 3.196
# Magnetic moment (μB per formula unit): 0.00
# Space group: No. 38
# Energy above the lowest structure with this stoichiometry (eV/atom): 0.440
data_Ti3CN
_chemical_formula_sum 'Ti3 C1 N1'
_cell_length_a 3.1654
_cell_length_b 4.5576
_cell_length_c 4.5576
_cell_angle_alpha 105.74
_cell_angle_beta 90.00
_cell_angle_gamma 90.00
_space_group_name_H-M_alt 'P 1'
_space_group_IT_number 1
loop_
_space_group_symop_operation_xyz
'x,y,z'
loop_
_atom_site_label
_atom_site_type_symbol
_atom_site_fract_x
_atom_site_fract_y
_atom_site_fract_z
C1 C 0.5000 0.5053 0.5053
Ti1 Ti 0.5000 0.0172 0.6642
Ti2 Ti 0.5000 0.6642 0.0172
N1 N 0.0000 0.9117 0.9117
Ti3 Ti 0.0000 0.2736 0.2736


Record 8
# KZn3Sb, optimized geometry, DFT PBE
# Raw formation energy (eV per atom): 0.29
# N(E_F) (states/eV/cell): 3.054
# Magnetic moment (μB per formula unit): 0.00
# Space group: No. 221
# Energy above the lowest structure with this stoichiometry (eV/atom): 0.000
data_KZn3Sb
_chemical_formula_sum 'K1 Zn3 Sb1'
_cell_length_a 5.4805
_cell_length_b 5.4805
_cell_length_c 5.4805
_cell_angle_alpha 90.00
_cell_angle_beta 90.00
_cell_angle_gamma 90.00
_space_group_name_H-M_alt 'P 1'
_space_group_IT_number 1
loop_
_space_group_symop_operation_xyz
'x,y,z'
loop_
_atom_site_label
_atom_site_type_symbol
_atom_site_fract_x
_atom_site_fract_y
_atom_site_fract_z
Zn1 Zn 0.0000 0.0000 0.5000
Sb1 Sb 0.0000 0.0000 0.0000
K1 K 0.5000 0.5000 0.5000
Zn2 Zn 0.5000 0.0000 0.0000
Zn3 Zn 0.0000 0.5000 0.0000


Record 9
# HoIn8Hg6, optimized geometry, DFT PBE
# N(E_F) (states/eV/cell): 5.758
# Magnetic moment (μB per formula unit): 0.00
# Formation energy from the elements (meV per atom): -51
# Space group: No. 148
data_HoIn8Hg6
_chemical_formula_sum 'Ho1 In8 Hg6'
_cell_length_a 7.9992
_cell_length_b 7.9992
_cell_length_c 7.9992
_cell_angle_alpha 65.04
_cell_angle_beta 65.04
_cell_angle_gamma 65.04
_space_group_name_H-M_alt 'P 1'
_space_group_IT_number 1
loop_
_space_group_symop_operation_xyz
'x,y,z'
loop_
_atom_site_label
_atom_site_type_symbol
_atom_site_fract_x
_atom_site_fract_y
_atom_site_fract_z
In1 In 0.4156 0.4156 0.4156
Ho1 Ho 0.0000 0.0000 0.0000
In2 In 0.1121 0.7242 0.7256
In3 In 0.8879 0.2758 0.2744
Hg1 Hg 0.8421 0.4521 0.8409
In4 In 0.5844 0.5844 0.5844
In5 In 0.7242 0.7256 0.1121
Hg2 Hg 0.1579 0.5479 0.1591
Hg3 Hg 0.5479 0.1591 0.1579
In6 In 0.7256 0.1121 0.7242
Hg4 Hg 0.1591 0.1579 0.5479
Hg5 Hg 0.8409 0.8421 0.4521
In7 In 0.2744 0.8879 0.2758
In8 In 0.2758 0.2744 0.8879
Hg6 Hg 0.4521 0.8409 0.8421


Record 10
# TcNiHIr2, optimized geometry, DFT PBE
# Energy (eV/atom): -7.280
# N(E_F) (states/eV/cell): 7.387
# Magnetic moment (μB per formula unit): 0.63
# Space group: No. 123
data_TcNiHIr2
_chemical_formula_sum 'Tc1 Ni1 H1 Ir2'
_cell_length_a 3.8959
_cell_length_b 3.8959
_cell_length_c 3.8005
_cell_angle_alpha 90.00
_cell_angle_beta 90.00
_cell_angle_gamma 90.00
_space_group_name_H-M_alt 'P 1'
_space_group_IT_number 1
loop_
_space_group_symop_operation_xyz
'x,y,z'
loop_
_atom_site_label
_atom_site_type_symbol
_atom_site_fract_x
_atom_site_fract_y
_atom_site_fract_z
Tc1 Tc 0.5000 0.5000 0.5000
H1 H 0.0000 0.0000 0.0000
Ni1 Ni 0.0000 0.0000 0.5000
Ir1 Ir 0.0000 0.5000 0.0000
Ir2 Ir 0.5000 0.0000 0.0000